## ZrCd6Pd12 (PBE-GGA)

Data for crystalline ZrCd6Pd12 at its relaxed geometry.

Calculated values
calculated total energy: -80.4 eV per formula unit
calculated density: 9.984 g cm⁻³

Cell: 7.140 7.140 7.140 Å, 101.25 101.25 101.25°
Fractional positions:
Zr  0.000  0.000  0.000
Cd  0.176  0.176  0.442
Cd  0.176  0.442  0.176
Cd  0.442  0.176  0.176
Cd  0.558  0.824  0.824
Cd  0.824  0.558  0.824
Cd  0.824  0.824  0.558
Pd  0.000  0.252  0.748
Pd  0.000  0.748  0.252
Pd  0.180  0.596  0.596
Pd  0.252  0.000  0.748
Pd  0.252  0.748  0.000
Pd  0.404  0.404  0.820
Pd  0.404  0.820  0.404
Pd  0.596  0.180  0.596
Pd  0.596  0.596  0.180
Pd  0.748  0.000  0.252
Pd  0.748  0.252  0.000
Pd  0.820  0.404  0.404



## ZrCdPd (PBE-GGA)

Data for crystalline ZrCdPd at its relaxed geometry.

Calculated values
calculated total energy: -15.8 eV per formula unit
calculated density: 8.787 g cm⁻³

Cell: 3.228 3.228 11.247 Å, 90.00 90.00 90.00°
Fractional positions:
Zr  0.000  0.000  0.191
Zr  0.000  0.000  0.809
Cd  0.000  0.000  0.500
Cd  0.500  0.500  0.000
Pd  0.500  0.500  0.341
Pd  0.500  0.500  0.659



## ZrCdPd4 (PBE-GGA)

Data for crystalline ZrCdPd4 at its relaxed geometry.

Calculated values
calculated total energy: -33.5 eV per formula unit
calculated density: 10.245 g cm⁻³

Cell: 5.088 5.088 6.089 Å, 109.29 109.29 43.82°
Fractional positions:
Zr  0.000  0.000  0.000
Cd  0.000  0.000  0.500
Pd  0.334  0.334  0.164
Pd  0.337  0.337  0.674
Pd  0.663  0.663  0.326
Pd  0.666  0.666  0.836



## ZrCdPd3 (PBE-GGA)

Data for crystalline ZrCdPd3 at its relaxed geometry.

Calculated values
energy above the lowest structure with this stoichiometry: 202 meV per atom
calculated total energy: -25.8 eV per formula unit
calculated density: 8.690 g cm⁻³

Cell: 6.540 6.540 5.122 Å, 90.00 90.00 114.20°
Fractional positions:
Zr  0.138  0.862  0.750
Zr  0.862  0.138  0.250
Cd  0.500  0.500  0.000
Cd  0.500  0.500  0.500
Pd  0.108  0.267  0.750
Pd  0.267  0.108  0.250
Pd  0.287  0.713  0.250
Pd  0.713  0.287  0.750
Pd  0.733  0.892  0.750
Pd  0.892  0.733  0.250



## ZrCdPd2 (PBE-GGA)

Data for crystalline ZrCdPd2 at its relaxed geometry.

Calculated values
calculated total energy: -20.4 eV per formula unit
calculated density: 8.672 g cm⁻³

Cell: 5.983 5.983 5.983 Å, 103.91 103.91 121.28°
Fractional positions:
Zr  0.000  0.000  0.000
Zr  0.750  0.250  0.500
Cd  0.250  0.750  0.500
Cd  0.500  0.500  0.000
Pd  0.114  0.625  0.989
Pd  0.375  0.364  0.489
Pd  0.636  0.125  0.011
Pd  0.875  0.886  0.511



## Zr4CdPd12 (PBE-GGA)

Data for crystalline Zr4CdPd12 at its relaxed geometry.

Calculated values
calculated total energy: -105.7 eV per formula unit
calculated density: 9.869 g cm⁻³

Cell: 7.265 7.265 7.265 Å, 109.47 109.47 109.47°
Fractional positions:
Zr  0.000  0.000  0.500
Zr  0.000  0.500  0.000
Zr  0.500  0.000  0.000
Zr  0.500  0.500  0.500
Cd  0.000  0.000  0.000
Pd  0.000  0.301  0.301
Pd  0.000  0.699  0.699
Pd  0.250  0.500  0.750
Pd  0.250  0.750  0.500
Pd  0.301  0.000  0.301
Pd  0.301  0.301  0.000
Pd  0.500  0.250  0.750
Pd  0.500  0.750  0.250
Pd  0.699  0.000  0.699
Pd  0.699  0.699  0.000
Pd  0.750  0.250  0.500
Pd  0.750  0.500  0.250



## ZrCd5Pd6 (PBE-GGA)

Data for crystalline ZrCd5Pd6 at its relaxed geometry.

Calculated values
calculated total energy: -49.8 eV per formula unit
calculated density: 10.083 g cm⁻³

Cell: 4.676 6.479 7.269 Å, 90.00 104.95 90.00°
Fractional positions:
Zr  0.000  0.000  0.000
Cd  0.000  0.500  0.000
Cd  0.346  0.000  0.663
Cd  0.347  0.500  0.667
Cd  0.653  0.500  0.333
Cd  0.654  0.000  0.337
Pd  0.147  0.249  0.326
Pd  0.147  0.751  0.326
Pd  0.500  0.245  0.000
Pd  0.500  0.755  0.000
Pd  0.853  0.249  0.674
Pd  0.853  0.751  0.674



## Zr2CdPd6 (PBE-GGA)

Data for crystalline Zr2CdPd6 at its relaxed geometry.

Calculated values
calculated total energy: -53.1 eV per formula unit
calculated density: 9.780 g cm⁻³

Cell: 8.039 8.039 2.923 Å, 90.09 90.09 57.03°
Fractional positions:
Zr  0.181  0.181  0.001
Zr  0.819  0.819  0.999
Cd  0.500  0.500  0.500
Pd  0.153  0.523  0.498
Pd  0.178  0.822  0.000
Pd  0.477  0.847  0.502
Pd  0.523  0.153  0.498
Pd  0.822  0.178  0.000
Pd  0.847  0.477  0.502



## Zr2CdPd (PBE-GGA)

Data for crystalline Zr2CdPd at its relaxed geometry.

Calculated values
calculated total energy: -24.0 eV per formula unit
calculated density: 8.166 g cm⁻³

Cell: 10.147 10.147 10.147 Å, 17.41 17.41 17.41°
Fractional positions:
Zr  0.000  0.000  0.000
Zr  0.179  0.179  0.179
Cd  0.423  0.423  0.423
Pd  0.589  0.589  0.589



## ZrCdPd (PBE-GGA)

Data for crystalline ZrCdPd at its relaxed geometry.

Calculated values
calculated total energy: -15.8 eV per formula unit
calculated density: 8.834 g cm⁻³

Cell: 6.138 6.138 6.138 Å, 149.83 149.83 43.20°
Fractional positions:
Zr  0.000  0.000  0.000
Cd  0.308  0.308  0.000
Pd  0.651  0.651  0.000



## Zr3CdPd (PBE-GGA)

Data for crystalline Zr3CdPd at its relaxed geometry.

Calculated values
energy above the lowest structure with this stoichiometry: 0 meV per atom
calculated total energy: -29.9 eV per formula unit
calculated density: 6.245 g cm⁻³

Cell: 5.078 5.078 5.078 Å, 90.00 90.00 90.00°
Fractional positions:
Zr  0.000  0.000  0.500
Zr  0.000  0.500  0.000
Zr  0.500  0.000  0.000
Cd  0.500  0.500  0.500
Pd  0.000  0.000  0.000



## Zr2CdPd (PBE-GGA)

Data for crystalline Zr2CdPd at its relaxed geometry.

Calculated values
calculated total energy: -24.4 eV per formula unit
calculated density: 8.361 g cm⁻³

Cell: 4.327 4.327 4.258 Å, 90.00 90.00 90.00°
Fractional positions:
Zr  0.000  0.500  0.000
Zr  0.500  0.000  0.000
Cd  0.000  0.000  0.500
Pd  0.500  0.500  0.500



## ZrCdPd3 (PBE-GGA)

Data for crystalline ZrCdPd3 at its relaxed geometry.

Calculated values
energy above the lowest structure with this stoichiometry: 876 meV per atom
calculated total energy: -22.5 eV per formula unit
calculated density: 7.271 g cm⁻³

Cell: 4.924 4.924 4.924 Å, 90.00 90.00 90.00°
Fractional positions:
Zr  0.000  0.000  0.000
Cd  0.500  0.500  0.500
Pd  0.000  0.000  0.500
Pd  0.000  0.500  0.000
Pd  0.500  0.000  0.000



## ZrCdPd5 (PBE-GGA)

Data for crystalline ZrCdPd5 at its relaxed geometry.

Calculated values
calculated total energy: -38.9 eV per formula unit
calculated density: 9.651 g cm⁻³

Cell: 4.012 4.012 7.863 Å, 90.00 90.00 90.00°
Fractional positions:
Zr  0.000  0.000  0.000
Cd  0.500  0.500  0.500
Pd  0.000  0.500  0.252
Pd  0.000  0.500  0.748
Pd  0.500  0.000  0.252
Pd  0.500  0.000  0.748
Pd  0.500  0.500  0.000



## ZrCdPd3 (PBE-GGA)

Data for crystalline ZrCdPd3 at its relaxed geometry.

Calculated values
energy above the lowest structure with this stoichiometry: 0 meV per atom
calculated total energy: -26.8 eV per formula unit
calculated density: 9.179 g cm⁻³

Cell: 5.379 5.040 7.479 Å, 90.00 111.07 90.00°
Fractional positions:
Zr  0.189  0.250  0.379
Zr  0.811  0.750  0.621
Cd  0.436  0.750  0.872
Cd  0.564  0.250  0.128
Pd  0.000  0.000  0.000
Pd  0.000  0.500  0.000
Pd  0.107  0.250  0.709
Pd  0.399  0.750  0.292
Pd  0.601  0.250  0.708
Pd  0.893  0.750  0.291



## ZrCd3Pd4 (PBE-GGA)

Data for crystalline ZrCd3Pd4 at its relaxed geometry.

Calculated values
calculated total energy: -35.9 eV per formula unit
calculated density: 9.873 g cm⁻³

Cell: 3.454 3.454 12.043 Å, 90.00 90.00 90.00°
Fractional positions:
Zr  0.000  0.000  0.000
Cd  0.000  0.000  0.254
Cd  0.000  0.000  0.500
Cd  0.000  0.000  0.746
Pd  0.500  0.500  0.122
Pd  0.500  0.500  0.375
Pd  0.500  0.500  0.625
Pd  0.500  0.500  0.878



## ZrCdPd (PBE-GGA)

Data for crystalline ZrCdPd at its relaxed geometry.

Calculated values
calculated total energy: -15.3 eV per formula unit
calculated density: 7.566 g cm⁻³

Cell: 4.707 4.707 6.268 Å, 97.38 97.38 93.71°
Fractional positions:
Zr  0.247  0.753  0.000
Zr  0.753  0.247  0.000
Cd  0.292  0.708  0.500
Cd  0.708  0.292  0.500
Pd  0.225  0.225  0.775
Pd  0.775  0.775  0.225



## Zr2CdPd4 (PBE-GGA)

Data for crystalline Zr2CdPd4 at its relaxed geometry.

Calculated values
energy above the lowest structure with this stoichiometry: 88 meV per atom
calculated total energy: -42.4 eV per formula unit
calculated density: 9.474 g cm⁻³

Cell: 4.302 5.066 6.484 Å, 81.61 89.94 64.88°
Fractional positions:
Zr  0.207  0.085  0.188
Zr  0.793  0.915  0.812
Cd  0.500  0.500  0.000
Pd  0.091  0.319  0.737
Pd  0.370  0.764  0.576
Pd  0.630  0.236  0.424
Pd  0.909  0.681  0.263



## ZrCdPd2 (PBE-GGA)

Data for crystalline ZrCdPd2 at its relaxed geometry.

Calculated values
calculated total energy: -21.7 eV per formula unit
calculated density: 9.531 g cm⁻³

Cell: 4.856 4.856 3.077 Å, 90.00 90.00 90.00°
Fractional positions:
Zr  0.000  0.000  0.000
Cd  0.500  0.500  0.000
Pd  0.000  0.500  0.500
Pd  0.500  0.000  0.500



## Zr2CdPd (PBE-GGA)

Data for crystalline Zr2CdPd at its relaxed geometry.

Calculated values
calculated total energy: -23.3 eV per formula unit
calculated density: 7.656 g cm⁻³

Cell: 6.227 6.227 6.227 Å, 101.90 101.90 125.98°
Fractional positions:
Zr  0.087  0.625  0.962
Zr  0.375  0.337  0.462
Zr  0.663  0.125  0.038
Zr  0.875  0.913  0.538
Cd  0.250  0.750  0.500
Cd  0.500  0.500  0.000
Pd  0.000  0.000  0.000
Pd  0.750  0.250  0.500